# 1
A geometry-optimized PHBr6 structure. Source: the Alexandria database, functional PBE.

a b c (Å): 6.663 7.043 7.408
angles (deg): 104.56 109.04 111.57
Space group P-1 (No. 2)
Unique sites:
P1 0.000 0.000 0.000
H1 0.500 0.000 0.000
Br1 0.160 0.828 0.194
Br2 0.274 0.026 0.831
Br3 0.298 0.360 0.276

## Properties
total energy: -2.46 eV/atom

# 2
A geometry-optimized PHBr3 structure. Source: the Alexandria database, functional PBE.

a b c (Å): 4.607 4.607 4.607
angles (deg): 90.00 90.00 90.00
Space group Pm-3m (No. 221)
Unique sites:
P1 0.000 0.000 0.000
H1 0.500 0.500 0.500
Br1 0.000 0.500 0.500

## Properties
polymorph energy (0 for the lowest one): 1.216 eV/atom

# 3
A geometry-optimized PHBr structure. Source: the Alexandria database, functional PBE.

a b c (Å): 3.498 9.448 9.841
angles (deg): 109.59 99.88 90.33
Space group P-1 (No. 2)
Unique sites:
P1 0.235 0.170 0.496
P2 0.257 0.666 0.492
H1 0.434 0.238 0.958
H2 0.472 0.257 0.039
Br1 0.034 0.571 0.247
Br2 0.219 0.075 0.251

## Properties
polymorph energy (0 for the lowest one): 0.053 eV/atom

# 4
A geometry-optimized P3HBr structure. Source: the Alexandria database, functional PBE.

a b c (Å): 4.932 4.932 4.932
angles (deg): 90.00 90.00 90.00
Space group Pm-3m (No. 221)
Unique sites:
P1 0.000 0.000 0.500
H1 0.500 0.500 0.500
Br1 0.000 0.000 0.000

## Properties
polymorph energy (0 for the lowest one): 0.880 eV/atom

# 5
A geometry-optimized PH4Br2 structure. Source: the Alexandria database, functional PBE.

a b c (Å): 9.536 5.841 6.832
angles (deg): 90.00 132.78 90.00
Space group Cm (No. 8)
Unique sites:
P1 0.000 0.000 0.000
H1 0.198 0.000 0.230
H2 0.394 0.500 0.074
H3 0.458 0.307 0.844
Br1 0.027 0.251 0.515

## Properties
polymorph energy (0 for the lowest one): 0.026 eV/atom

# 6
A geometry-optimized PHBr3 structure. Source: the Alexandria database, functional PBE.

a b c (Å): 5.583 7.646 9.956
angles (deg): 105.02 90.54 93.40
Space group P-1 (No. 2)
Unique sites:
P1 0.204 0.015 0.012
H1 0.246 0.328 0.744
Br1 0.211 0.033 0.240
Br2 0.228 0.312 0.012
Br3 0.253 0.387 0.618

## Properties
polymorph energy (0 for the lowest one): 0.000 eV/atom

# 7
A geometry-optimized PHBr2 structure. Source: the Alexandria database, functional PBE.

a b c (Å): 6.670 6.670 6.670
angles (deg): 90.00 90.00 90.00
Space group Fm-3m (No. 225)
Unique sites:
P1 0.000 0.000 0.000
H1 0.000 0.000 0.500
Br1 0.250 0.250 0.250

## Properties
polymorph energy (0 for the lowest one): 0.436 eV/atom

# 8
A geometry-optimized PHBr2 structure. Source: the Alexandria database, functional PBE.

a b c (Å): 3.5382 3.5382 23.2093
angles (deg): 90.00 90.00 120.00
Space group R-3m (No. 166, hexagonal axes)
Unique sites:
P1 0.0000 0.0000 0.0000
H1 0.0000 0.0000 0.5000
Br1 0.0000 0.0000 0.4252

## Properties
polymorph energy (0 for the lowest one): 0.000 eV/atom

# 9
A geometry-optimized PH6Br2 structure. Source: the Alexandria database, functional PBE.

a b c (Å): 6.402 6.870 9.657
angles (deg): 90.00 131.13 90.00
Space group P2_1/c (No. 14)
Unique sites:
P1 0.000 0.000 0.000
H1 0.047 0.076 0.877
H2 0.131 0.206 0.130
H3 0.291 0.577 0.623
Br1 0.281 0.101 0.779

## Properties
total energy: -3.03 eV/atom

# 10
A geometry-optimized PHBr3 structure. Source: the Alexandria database, functional PBE.

a b c (Å): 5.101 5.101 5.101
angles (deg): 90.00 90.00 90.00
Space group Pm-3m (No. 221)
Unique sites:
P1 0.000 0.000 0.000
H1 0.500 0.500 0.500
Br1 0.000 0.000 0.500

## Properties
polymorph energy (0 for the lowest one): 0.676 eV/atom

# 11
A geometry-optimized P3HBr structure. Source: the Alexandria database, functional PBE.

a b c (Å): 4.187 4.187 4.187
angles (deg): 90.00 90.00 90.00
Space group Pm-3m (No. 221)
Unique sites:
P1 0.000 0.000 0.500
H1 0.000 0.000 0.000
Br1 0.500 0.500 0.500

## Properties
polymorph energy (0 for the lowest one): 0.000 eV/atom

# 12
A geometry-optimized PHBr structure. Source: the Alexandria database, functional PBE.

a b c (Å): 5.354 5.587 6.263
angles (deg): 106.10 93.57 111.38
Space group P1 (No. 1)
Unique sites:
P1 0.000 0.000 0.000
P2 0.245 0.169 0.345
H1 0.014 0.158 0.451
H2 0.235 0.073 0.896
Br1 0.430 0.625 0.436
Br2 0.865 0.322 0.945

## Properties
polymorph energy (0 for the lowest one): 0.000 eV/atom